A relaxed Y2Ag2Pt crystal, computed with PBE.

Lattice parameters (Å, degrees): 7.479 7.479 4.000 90.00 90.00 90.00
Element x y z (fractional)
Ag (0.128, 0.372, 0.000)
Y (0.820, 0.320, 0.500)
Y (0.180, 0.680, 0.500)
Ag (0.628, 0.128, 0.000)
Pt (0.000, 0.000, 0.000)
Ag (0.872, 0.628, 0.000)
Pt (0.500, 0.500, 0.000)
Y (0.320, 0.180, 0.500)
Y (0.680, 0.820, 0.500)
Ag (0.372, 0.872, 0.000)

Energy of formation from the pure elements (meV/atom): -415
DOS at the Fermi energy (states/eV/atom): 0.8231
Theoretical density (g/cm3): 8.736